1.
The following is a DFT calculation (GGA-PBE) of a geometry-optimized TeAuS2N structure.

Unit cell a=5.082 b=5.082 c=3.811 alpha=90.00 beta=90.00 gamma=90.00
Space group P4/mmm (No. 123)
One atom of each set of equivalent atoms:
Te: 0.000 0.000 0.000 (multiplicity 1)
Au: 0.500 0.500 0.500 (multiplicity 1)
S: 0.000 0.500 0.500 (multiplicity 2)
N: 0.500 0.500 0.000 (multiplicity 1)

Calculated values
- excess energy over the best structure of this formula in the dataset (eV per atom) = 0.000
- calculated total energy (eV per atom) = -3.4650
- formation energy (no corrections) (kJ/mol of atoms) = 109.5



2.
The following is a DFT calculation (GGA-PBE) of a geometry-optimized Ca7Sn2Pb2 structure.

Unit cell a=8.699 b=11.543 c=7.947 alpha=90.00 beta=90.00 gamma=90.00
Space group Cmmm (No. 65)
One atom of each set of equivalent atoms:
Ca: 0.000 0.000 0.000 (multiplicity 2)
Ca: 0.000 0.500 0.248 (multiplicity 4)
Ca: 0.250 0.250 0.275 (multiplicity 8)
Sn: 0.000 0.283 0.000 (multiplicity 4)
Pb: 0.192 0.000 0.500 (multiplicity 4)

Calculated values
- calculated total energy (eV per atom) = -3.0851



3.
The following is a DFT calculation (GGA-PBE) of a geometry-optimized LiDyTm2 structure.

Unit cell a=3.4705 b=3.4705 c=33.1608 alpha=90.00 beta=90.00 gamma=120.00
Space group R3m (No. 160, hexagonal axes)
One atom of each set of equivalent atoms:
Li: 0.0000 0.0000 0.0000 (multiplicity 3)
Dy: 0.0000 0.0000 0.1664 (multiplicity 3)
Tm: 0.0000 0.0000 0.4148 (multiplicity 3)
Tm: 0.0000 0.0000 0.5848 (multiplicity 3)

Calculated values
- excess energy over the best structure of this formula in the dataset (eV per atom) = 0.032
- calculated total energy (eV per atom) = -3.7589



4.
The following is a DFT calculation (GGA-PBE) of a geometry-optimized LaPm8Sm5 structure.

Unit cell a=9.676 b=9.676 c=10.497 alpha=90.00 beta=90.00 gamma=90.00
Space group I-4 (No. 82)
One atom of each set of equivalent atoms:
La: 0.000 0.000 0.000 (multiplicity 2)
Pm: 0.073 0.178 0.356 (multiplicity 8)
Pm: 0.081 0.320 0.004 (multiplicity 8)
Sm: 0.000 0.500 0.250 (multiplicity 2)
Sm: 0.109 0.291 0.678 (multiplicity 8)

Calculated values
- calculated total energy (eV per atom) = -4.5312



5.
The following is a DFT calculation (GGA-PBE) of a geometry-optimized RbNbPd2Br structure.

Unit cell a=8.930 b=3.458 c=8.597 alpha=90.00 beta=92.07 gamma=90.00
Space group Cm (No. 8)
One atom of each set of equivalent atoms:
Rb: 0.000 0.000 0.000 (multiplicity 2)
Nb: 0.153 0.000 0.474 (multiplicity 2)
Pd: 0.233 0.500 0.263 (multiplicity 2)
Pd: 0.447 0.000 0.382 (multiplicity 2)
Br: 0.208 0.500 0.721 (multiplicity 2)

Calculated values
- excess energy over the best structure of this formula in the dataset (eV per atom) = 0.069
- calculated total energy (eV per atom) = -4.8400
- formation energy (no corrections) (kJ/mol of atoms) = -21.3



6.
The following is a DFT calculation (GGA-PBE) of a geometry-optimized Sr4Er3AgTe8 structure.

Unit cell a=15.664 b=9.043 c=9.069 alpha=90.00 beta=125.15 gamma=90.00
Space group C2/m (No. 12)
One atom of each set of equivalent atoms:
Sr: 0.000 0.000 0.000 (multiplicity 2)
Sr: 0.000 0.500 0.000 (multiplicity 2)
Sr: 0.250 0.250 0.000 (multiplicity 4)
Er: 0.000 0.000 0.500 (multiplicity 2)
Er: 0.250 0.250 0.500 (multiplicity 4)
Ag: 0.000 0.500 0.500 (multiplicity 2)
Te: 0.009 0.249 0.276 (multiplicity 8)
Te: 0.243 0.000 0.728 (multiplicity 4)
Te: 0.243 0.500 0.727 (multiplicity 4)

Calculated values
- calculated total energy (eV per atom) = -4.3887
- formation energy (no corrections) (kJ/mol of atoms) = -131.6



7.
The following is a DFT calculation (GGA-PBE) of a geometry-optimized CaMgBr2 structure.

Unit cell a=7.646 b=7.646 c=7.646 alpha=90.00 beta=90.00 gamma=90.00
Space group Fm-3m (No. 225)
One atom of each set of equivalent atoms:
Ca: 0.000 0.000 0.000 (multiplicity 4)
Mg: 0.000 0.000 0.500 (multiplicity 4)
Br: 0.250 0.250 0.250 (multiplicity 8)

Calculated values
- excess energy over the best structure of this formula in the dataset (eV per atom) = 0.298
- calculated total energy (eV per atom) = -2.6741
- formation energy (no corrections) (kJ/mol of atoms) = -90.6



8.
The following is a DFT calculation (GGA-PBE) of a geometry-optimized Li3Pd7Pt structure.

Unit cell a=8.236 b=8.969 c=5.114 alpha=90.00 beta=114.28 gamma=90.00
Space group C2/m (No. 12)
One atom of each set of equivalent atoms:
Li: 0.000 0.000 0.000 (multiplicity 2)
Li: 0.000 0.233 0.500 (multiplicity 4)
Pd: 0.000 0.500 0.500 (multiplicity 2)
Pd: 0.178 0.233 0.192 (multiplicity 8)
Pd: 0.182 0.000 0.554 (multiplicity 4)
Pt: 0.000 0.500 0.000 (multiplicity 2)

Calculated values
- calculated total energy (eV per atom) = -4.3869



> Among the records above, which one has the highest calculated total energy?

CaMgBr2



> The lowest calculated total energy belongs to which entry?

RbNbPd2Br



> The lowest calculated total energy belongs to which entry?

RbNbPd2Br